(1)
The following is a DFT calculation (PBE) of a relaxed Pr2Nd6Er crystal.

Cell: 10.0163 17.4188 3.5808 Å, 90.00 90.00 90.00°
Last column: nearest neighbours and their distance in Å.
Space group Cmmm (No. 65)
One atom of each set of equivalent atoms:
Pr 0.0000 0.1668 0.0000 (multiplicity 4)  2 Pr 3.58, 12 Nd 3.80-3.81
Nd 0.1659 0.3350 0.5000 (multiplicity 8)  5 Nd 3.31-3.58
Nd 0.1699 0.0000 0.5000 (multiplicity 4)  5 Nd 3.31-3.58
Er 0.0000 0.5000 0.0000 (multiplicity 2)  2 Er 3.58, 12 Nd 3.76-3.77

Calculated values
ΔE to the lowest computed polymorph   0.000 eV/f.u.
ρ   7.0 Mg/m³
Magnetic moment   0.00 μB/f.u.
D(E_F)   1.419 states/eV/atom
ΔH_f (0 K)   0.053 eV/atom



(2)
The following is a DFT calculation (PBE) of a relaxed UPdS3 crystal.

Cell: 9.7215 12.5495 7.0067 Å, 90.00 102.70 90.00°
Last column: nearest neighbours and their distance in Å.
Space group C2/c (No. 15)
One atom of each set of equivalent atoms:
U 0.1915 0.0877 0.4675 (multiplicity 8)  7 S 2.62-2.73
Pd 0.0000 0.3034 0.2500 (multiplicity 4)  4 S 2.47-2.48
Pd 0.0000 0.4160 0.7500 (multiplicity 4)  4 S 2.45-2.49
S 0.0955 0.0973 0.0867 (multiplicity 8)  3 U 2.63-2.73
S 0.1178 0.2779 0.5973 (multiplicity 8)  2 Pd 2.45-2.47, 2 U 2.62-2.71
S 0.1602 0.4430 0.1736 (multiplicity 8)  2 Pd 2.48-2.49, 2 U 2.64

Calculated values
ΔE to the lowest computed polymorph   0.000 eV/f.u.
ρ   7.0 Mg/m³
Magnetic moment   0.54 μB/f.u.
D(E_F)   0.948 states/eV/atom
ΔE_f (raw)   -0.9148 eV per atom



(3)
The following is a DFT calculation (PBE) of a relaxed Zr2Cr4Ir crystal.

Cell: 4.5266 4.5266 14.1897 Å, 90.00 90.00 90.00°
Last column: nearest neighbours and their distance in Å.
Space group I4/mmm (No. 139)
One atom of each set of equivalent atoms:
Zr 0.0000 0.0000 0.1097 (multiplicity 4)  5 Cr 2.75-2.95
Cr 0.0000 0.0000 0.3178 (multiplicity 4)  1 Ir 2.58
Cr 0.0000 0.5000 0.0000 (multiplicity 4)  2 Ir 2.26
Ir 0.0000 0.0000 0.5000 (multiplicity 2)  4 Cr 2.26

Calculated values
ρ   6.7 Mg/m³
Magnetic moment   8.80 μB/f.u.
D(E_F)   0.911 states/eV/atom
ΔH_f (0 K)   0.918 eV/atom



(4)
The following is a DFT calculation (PBE) of a relaxed ErAl3Ni2 crystal.

Cell: 9.4774 7.8944 5.1338 Å, 90.00 90.00 90.00°
Last column: nearest neighbours and their distance in Å.
Space group Cmcm (No. 63)
One atom of each set of equivalent atoms:
Er 0.0000 0.1498 0.2500 (multiplicity 4)  9 Al 3.06-3.42, 4 Ni 3.21
Al 0.0000 0.4623 0.7500 (multiplicity 4)  4 Ni 2.43, 4 Al 2.58-2.63
Al 0.1845 0.2228 0.7500 (multiplicity 8)  4 Ni 2.37-2.55, 1 Al 2.58
Ni 0.2156 0.5000 0.0000 (multiplicity 8)  6 Al 2.37-2.55, 2 Ni 2.57

Calculated values
ρ   6.3 Mg/m³
Magnetic moment   0.00 μB/f.u.
D(E_F)   0.405 states/eV/atom
ΔH_f (0 K)   -0.601 eV/atom